# CrHS2, relaxed, DFT PBE
data_CrHS2
_chemical_formula_sum 'Cr2 H2 S4'
_cell_length_a 10.725
_cell_length_b 4.974
_cell_length_c 4.974
_cell_angle_alpha 86.64
_cell_angle_beta 128.09
_cell_angle_gamma 51.91
_symmetry_space_group_name_H-M 'P 1'
_symmetry_Int_Tables_number 1
loop_
_symmetry_equiv_pos_as_xyz
'x,y,z'
loop_
_atom_site_label
_atom_site_type_symbol
_atom_site_fract_x
_atom_site_fract_y
_atom_site_fract_z
H1 H 0.590 0.124 0.919
H2 H 0.090 0.581 0.376
S1 S 0.106 0.794 0.927
S2 S 0.173 0.200 0.530
S3 S 0.606 0.573 0.706
S4 S 0.673 0.970 0.300
Cr1 Cr 0.648 0.543 0.334
Cr2 Cr 0.148 0.166 0.957
# Size of the total moment: 2.0 Bohr magnetons per cell
# Density of states at the Fermi level: 0.44 states/eV per cell
# Energy relative to the lowest polymorph listed for this composition: 0.231 eV per atom

# LaSi2Br, relaxed, DFT PBE
data_LaSi2Br
_chemical_formula_sum 'La1 Si2 Br1'
_cell_length_a 3.487
_cell_length_b 3.487
_cell_length_c 8.587
_cell_angle_alpha 90.00
_cell_angle_beta 90.00
_cell_angle_gamma 90.07
_symmetry_space_group_name_H-M 'P 1'
_symmetry_Int_Tables_number 1
loop_
_symmetry_equiv_pos_as_xyz
'x,y,z'
loop_
_atom_site_label
_atom_site_type_symbol
_atom_site_fract_x
_atom_site_fract_y
_atom_site_fract_z
Br1 Br 0.000 0.000 0.556
Si1 Si 0.500 0.500 0.132
Si2 Si 0.000 0.000 0.036
La1 La 0.500 0.500 0.777
# Size of the total moment: 0.0 Bohr magnetons per cell
# Energy relative to the elements, uncorrected: -0.428 eV per atom
# Density of states at the Fermi level: 4.40 states/eV per cell
# Energy relative to the lowest polymorph listed for this composition: 0.323 eV per atom

# ZnSbRu3, relaxed, DFT PBE
data_ZnSbRu3
_chemical_formula_sum 'Zn1 Sb1 Ru3'
_cell_length_a 4.508
_cell_length_b 4.508
_cell_length_c 4.508
_cell_angle_alpha 90.00
_cell_angle_beta 90.00
_cell_angle_gamma 90.00
_symmetry_space_group_name_H-M 'P 1'
_symmetry_Int_Tables_number 1
loop_
_symmetry_equiv_pos_as_xyz
'x,y,z'
loop_
_atom_site_label
_atom_site_type_symbol
_atom_site_fract_x
_atom_site_fract_y
_atom_site_fract_z
Zn1 Zn 0.000 0.000 0.000
Sb1 Sb 0.500 0.500 0.500
Ru1 Ru 0.500 0.000 0.000
Ru2 Ru 0.000 0.000 0.500
Ru3 Ru 0.000 0.500 0.000
# Size of the total moment: 0.0 Bohr magnetons per cell
# Energy relative to the elements, uncorrected: 1.251 eV per atom
# Density of states at the Fermi level: 4.69 states/eV per cell
# Energy relative to the lowest polymorph listed for this composition: 0.000 eV per atom

# CaSn2Bi2, relaxed, DFT PBE
data_CaSn2Bi2
_chemical_formula_sum 'Ca2 Sn4 Bi4'
_cell_length_a 8.512
_cell_length_b 8.512
_cell_length_c 4.363
_cell_angle_alpha 90.00
_cell_angle_beta 90.00
_cell_angle_gamma 90.00
_symmetry_space_group_name_H-M 'P 1'
_symmetry_Int_Tables_number 1
loop_
_symmetry_equiv_pos_as_xyz
'x,y,z'
loop_
_atom_site_label
_atom_site_type_symbol
_atom_site_fract_x
_atom_site_fract_y
_atom_site_fract_z
Bi1 Bi 0.358 0.858 0.000
Bi2 Bi 0.858 0.642 0.000
Bi3 Bi 0.142 0.358 0.000
Bi4 Bi 0.642 0.142 0.000
Sn1 Sn 0.339 0.161 0.500
Sn2 Sn 0.661 0.839 0.500
Sn3 Sn 0.839 0.339 0.500
Sn4 Sn 0.161 0.661 0.500
Ca1 Ca 0.000 0.000 0.000
Ca2 Ca 0.500 0.500 0.000
# Size of the total moment: 0.0 Bohr magnetons per cell
# Formation energy from the elements: -0.1464 eV/atom
# Density of states at the Fermi level: 7.73 states/eV per cell

# TcF4, relaxed, DFT PBE
data_TcF4
_chemical_formula_sum 'Tc2 F8'
_cell_length_a 4.913
_cell_length_b 5.733
_cell_length_c 5.826
_cell_angle_alpha 60.74
_cell_angle_beta 90.00
_cell_angle_gamma 90.00
_symmetry_space_group_name_H-M 'P 1'
_symmetry_Int_Tables_number 1
loop_
_symmetry_equiv_pos_as_xyz
'x,y,z'
loop_
_atom_site_label
_atom_site_type_symbol
_atom_site_fract_x
_atom_site_fract_y
_atom_site_fract_z
Tc1 Tc 0.500 0.000 0.000
Tc2 Tc 0.000 0.500 0.000
F1 F 0.750 0.323 0.854
F2 F 0.787 0.345 0.311
F3 F 0.750 0.823 0.854
F4 F 0.287 0.155 0.689
F5 F 0.250 0.177 0.146
F6 F 0.713 0.845 0.311
F7 F 0.250 0.677 0.146
F8 F 0.213 0.655 0.689
# Size of the total moment: 6.0 Bohr magnetons per cell
# Energy relative to the elements, uncorrected: -1.966 eV per atom
# Density of states at the Fermi level: 4.57 states/eV per cell
# Energy relative to the lowest polymorph listed for this composition: 0.014 eV per atom

# La3Ru, relaxed, DFT PBE
data_La3Ru
_chemical_formula_sum 'La3 Ru1'
_cell_length_a 4.000
_cell_length_b 9.969
_cell_length_c 4.000
_cell_angle_alpha 101.57
_cell_angle_beta 60.00
_cell_angle_gamma 101.57
_symmetry_space_group_name_H-M 'P 1'
_symmetry_Int_Tables_number 1
loop_
_symmetry_equiv_pos_as_xyz
'x,y,z'
loop_
_atom_site_label
_atom_site_type_symbol
_atom_site_fract_x
_atom_site_fract_y
_atom_site_fract_z
La1 La 0.472 0.416 0.472
La2 La 0.250 0.750 0.250
La3 La 0.028 0.084 0.028
Ru1 Ru 0.750 0.250 0.750
# Size of the total moment: 0.0 Bohr magnetons per cell
# Formation energy from the elements: -0.0836 eV/atom
# Density of states at the Fermi level: 4.11 states/eV per cell

> Which value of density of states at the Fermi level does entry 2 give?

4.40 states/eV per cell